Entry 1:
Below is crystalline U3Fe9GeB2 at its relaxed geometry, with properties calculated at the GGA-PBE level.

Unit cell a=5.3449 b=5.3449 c=8.2742 alpha=90.00 beta=90.00 gamma=120.00
Closest atoms and distances in Å follow each position.
Space group P-3m1 (No. 164)
One atom of each set of equivalent atoms:
1 U 0.0000 0.0000 0.0000 [1 per cell]  12 Fe 2.67-2.76
2 U 0.3333 0.6667 0.6814 [2 per cell]  6 Fe 2.69
3 Fe 0.0000 0.5000 0.0000 [3 per cell]  2 B 1.95
4 Fe 0.1636 0.3272 0.2784 [6 per cell]  1 B 1.92
5 Ge 0.0000 0.0000 0.5000 [1 per cell]  6 Fe 2.38
6 B 0.3333 0.6667 0.1446 [2 per cell]  6 Fe 1.92-1.95

## Properties
- DOS at the Fermi energy (states/eV/f.u.) = 15.42
- DFT formation energy (eV/atom) = -0.09

=====

Entry 2:
Below is crystalline PrPaCoS4 at its relaxed geometry, with properties calculated at the GGA-PBE level.

Unit cell a=6.3753 b=5.7519 c=7.8653 alpha=90.00 beta=106.13 gamma=90.00
Closest atoms and distances in Å follow each position.
Space group P2_1/m (No. 11)
One atom of each set of equivalent atoms:
1 Pr 0.2391 0.2500 0.4367 [2 per cell]  8 S 2.81-3.06
2 Pa 0.2506 0.2500 0.9431 [2 per cell]  6 S 2.72-2.86
3 Co 0.2633 0.7500 0.1647 [2 per cell]  4 S 2.13-2.25
4 S 0.0739 0.7500 0.3675 [2 per cell]  1 Co 2.25
5 S 0.0745 0.7500 0.8950 [2 per cell]  1 Co 2.13
6 S 0.4829 0.5087 0.7556 [4 per cell]  1 Co 2.16

## Properties
- formation energy (no corrections) (eV per atom) = -1.439
- DOS at the Fermi energy (states/eV/f.u.) = 4.29

=====

Entry 3:
Below is crystalline Pm3TmC at its relaxed geometry, with properties calculated at the GGA-PBE level.

Unit cell a=5.1847 b=5.1847 c=5.1847 alpha=90.00 beta=90.00 gamma=90.00
Closest atoms and distances in Å follow each position.
Space group Pm-3m (No. 221)
One atom of each set of equivalent atoms:
1 Pm 0.0000 0.0000 0.5000 [3 per cell]  2 C 2.59
2 Tm 0.5000 0.5000 0.5000 [1 per cell]  12 Pm 3.67
3 C 0.0000 0.0000 0.0000 [1 per cell]  6 Pm 2.59

## Properties
- DOS at the Fermi energy (states/eV/f.u.) = 6.65
- DFT formation energy (eV/atom) = 0.07

=====

Entry 4:
Below is crystalline Co2SiB at its relaxed geometry, with properties calculated at the GGA-PBE level.

Unit cell a=3.5261 b=3.5261 c=2.9761 alpha=90.00 beta=90.00 gamma=90.00
Closest atoms and distances in Å follow each position.
Space group P4/mmm (No. 123)
One atom of each set of equivalent atoms:
1 Co 0.0000 0.5000 0.0000 [2 per cell]  4 B 2.31, 4 Si 2.31, 4 Co 2.49
2 Si 0.0000 0.0000 0.5000 [1 per cell]  8 Co 2.31, 4 B 2.49
3 B 0.5000 0.5000 0.5000 [1 per cell]  8 Co 2.31, 4 Si 2.49

## Properties
- formation energy (no corrections) (eV per atom) = -0.141
- DOS at the Fermi energy (states/eV/f.u.) = 1.48
- relative energy among the computed polymorphs (meV/atom) = 0

=====

Entry 5:
Below is crystalline NbInOs2Se at its relaxed geometry, with properties calculated at the GGA-PBE level.

Unit cell a=4.4730 b=4.4730 c=5.2288 alpha=90.00 beta=90.00 gamma=90.00
Closest atoms and distances in Å follow each position.
Space group P4/mmm (No. 123)
One atom of each set of equivalent atoms:
1 Nb 0.0000 0.0000 0.0000 [1 per cell]  4 In 3.16, 8 Os 3.44
2 In 0.5000 0.5000 0.0000 [1 per cell]  2 Se 2.61
3 Os 0.0000 0.5000 0.5000 [2 per cell]  2 Se 2.24
4 Se 0.5000 0.5000 0.5000 [1 per cell]  4 Os 2.24

## Properties
- formation energy (no corrections) (eV per atom) = 1.588
- DOS at the Fermi energy (states/eV/f.u.) = 5.57

=====

Entry 6:
Below is crystalline NaSr2Zn2 at its relaxed geometry, with properties calculated at the GGA-PBE level.

Unit cell a=4.5335 b=16.9948 c=4.3315 alpha=90.00 beta=90.00 gamma=90.00
Closest atoms and distances in Å follow each position.
Space group Cmmm (No. 65)
One atom of each set of equivalent atoms:
1 Na 0.0000 0.0000 0.0000 [2 per cell]  2 Zn 3.57, 8 Sr 3.94
2 Sr 0.0000 0.3598 0.5000 [4 per cell]  6 Zn 3.34-3.35
3 Zn 0.0000 0.2101 0.0000 [4 per cell]  2 Zn 2.64

## Properties
- DOS at the Fermi energy (states/eV/f.u.) = 3.31
- DFT formation energy (eV/atom) = -0.15
- relative energy among the computed polymorphs (meV/atom) = 0

=====

Entry 7:
Below is crystalline Zr4ScIn5 at its relaxed geometry, with properties calculated at the GGA-PBE level.

Unit cell a=8.0623 b=10.9244 c=5.6544 alpha=90.00 beta=90.00 gamma=90.00
Closest atoms and distances in Å follow each position.
Space group Pmmn (No. 59, origin choice 2)
One atom of each set of equivalent atoms:
1 Zr 0.0689 0.2500 0.0641 [4 per cell]  3 Zr 2.92-3.04, 4 In 3.16-3.21
2 Zr 0.2500 0.6108 0.8370 [4 per cell]  4 In 2.98-3.03, 3 Zr 3.04, 2 Sc 3.20-3.22
3 Sc 0.2500 0.7500 0.3349 [2 per cell]  4 In 2.94, 4 Zr 3.20-3.22
4 In 0.0652 0.5206 0.2709 [8 per cell]  2 In 2.83-2.98, 1 Sc 2.94, 2 Zr 2.98-3.03
5 In 0.2500 0.2500 0.5693 [2 per cell]  4 Zr 3.16-3.21

## Properties
- DOS at the Fermi energy (states/eV/f.u.) = 8.02
- DFT formation energy (eV/atom) = -0.02
- relative energy among the computed polymorphs (meV/atom) = 318

=====

Entry 8:
Below is crystalline Pa2Co3NiAs4 at its relaxed geometry, with properties calculated at the GGA-PBE level.

Unit cell a=4.1815 b=4.1815 c=9.0328 alpha=90.00 beta=90.00 gamma=90.00
Closest atoms and distances in Å follow each position.
Space group P-4m2 (No. 115)
One atom of each set of equivalent atoms:
1 Pa 0.0000 0.5000 0.2438 [2 per cell]  7 Co 3.04-3.35, 2 Ni 3.04, 9 As 3.12-3.39
2 Co 0.0000 0.0000 0.0000 [1 per cell]  4 As 2.40
3 Co 0.0000 0.5000 0.6145 [2 per cell]  5 As 2.30-2.33
4 Ni 0.5000 0.5000 0.0000 [1 per cell]  4 As 2.40
5 As 0.0000 0.0000 0.5000 [1 per cell]  4 Co 2.33
6 As 0.0000 0.5000 0.8689 [2 per cell]  3 Co 2.30-2.40, 2 Ni 2.40
7 As 0.5000 0.5000 0.5000 [1 per cell]  4 Co 2.33

## Properties
- DOS at the Fermi energy (states/eV/f.u.) = 6.60
- DFT formation energy (eV/atom) = -0.69